Model A:
A plane-wave DFT calculation with PBE was carried out for CeTl2Cu after structural relaxation.

Summary:
Space-group type: R-3m (166)
Total moment (μB/f.u.): 1.2
DOS at the Fermi energy (states/eV per cell): 6.40

```
CeTl2Cu
1.0
-0.251 -3.309 -1.306
2.647 -1.342 -1.977
4.773 -4.830 6.452
Tl Cu Ce
2 1 1
Direct
0.234 0.234 0.297 Tl
0.766 0.766 0.703 Tl
0.500 0.500 0.500 Cu
0.000 0.000 0.000 Ce
```

Model B:
A plane-wave DFT calculation with PBE was carried out for CeTl2Cu after structural relaxation.

Summary:
Space-group type: I4/mmm (139)
Total moment (μB/f.u.): 0.7
DOS at the Fermi energy (states/eV per cell): 12.66

```
CeTl2Cu
1.0
-3.666 -1.579 -2.657
1.476 -4.516 0.648
-3.651 2.485 7.889
Ce Tl Cu
2 4 2
Direct
0.143 0.143 0.286 Ce
0.857 0.857 0.714 Ce
0.000 0.500 0.000 Tl
0.500 0.000 0.000 Tl
0.346 0.346 0.692 Tl
0.654 0.654 0.308 Tl
0.250 0.750 0.500 Cu
0.750 0.250 0.500 Cu
```

Which structure is most stable? model B, by 317 meV/atom over the runner-up.

Model A:
A plane-wave DFT calculation with PBE was carried out for CeTmCu2 after structural relaxation.

Summary:
Space-group type: P4/mmm (123)
Total moment (μB/f.u.): 1.0
DOS at the Fermi energy (states/eV per cell): 6.29

```
CeTmCu2
1.0
3.403 0.000 0.000
0.000 3.403 0.000
0.000 0.000 7.208
Tm Cu Ce
1 2 1
Direct
0.500 0.500 0.000 Tm
0.000 0.000 0.227 Cu
0.000 0.000 0.773 Cu
0.500 0.500 0.500 Ce
```

Model B:
A plane-wave DFT calculation with PBE was carried out for CeTmCu2 after structural relaxation.

Summary:
Space-group type: Fm-3m (225)
Total moment (μB/f.u.): 0.3
DOS at the Fermi energy (states/eV per cell): 5.46

```
CeTmCu2
1.0
4.917 0.000 0.000
2.459 4.259 0.000
2.459 1.420 4.015
Tm Cu Ce
1 2 1
Direct
0.500 0.500 0.500 Tm
0.250 0.250 0.250 Cu
0.750 0.750 0.750 Cu
0.000 0.000 0.000 Ce
```

Which structure is most stable? model A, by 10 meV/atom over the runner-up.